# PBE-GGA InSn2Ge2, optimized geometry
data_InSn2Ge2
_cell_length_a 8.006
_cell_length_b 8.006
_cell_length_c 3.866
_cell_angle_alpha 90.00
_cell_angle_beta 90.00
_cell_angle_gamma 90.00
_symmetry_space_group_name_H-M 'P 4/m b m'
_symmetry_Int_Tables_number 127
_symmetry_space_group_name_Hall '-P 4 2ab'
loop_
_atom_site_label
_atom_site_fract_x
_atom_site_fract_y
_atom_site_fract_z
In1 0.000 0.000 0.000
Sn1 0.155 0.345 0.500
Ge1 0.132 0.632 0.000
# Formation enthalpy at 0 K ... 160 meV/atom
# Total magnetization ... 0.00 μB per formula unit